No. 1
! PBE NiPt2Pb, optimized geometry; values from VASP
! **ΔE_f**: 0.073 eV per atom
&SYSTEM
  ibrav = 0, nat = 4, ntyp = 3
/
ATOMIC_SPECIES
Pt 195.08 Pt.upf
Ni 58.69 Ni.upf
Pb 207.20 Pb.upf
CELL_PARAMETERS angstrom
-1.915 -3.547 -2.120
2.064 -4.059 0.034
-1.757 -3.428 2.430
ATOMIC_POSITIONS angstrom
Pt -1.205 -8.275 0.259
Ni -0.804 -5.517 0.172
Pb -0.402 -2.758 0.086
Pt 0.000 0.000 0.000

---

No. 2
! PBE Zr3Tl3NiTe8, optimized geometry; values from VASP
! **Raw formation energy**: -0.5360 eV/atom
&SYSTEM
  ibrav = 0, nat = 15, ntyp = 4
/
ATOMIC_SPECIES
Ni 58.69 Ni.upf
Zr 91.22 Zr.upf
Te 127.60 Te.upf
Tl 204.38 Tl.upf
CELL_PARAMETERS angstrom
8.203 0.000 0.000
-4.101 7.103 -0.031
0.000 -4.699 8.439
ATOMIC_POSITIONS angstrom
Ni 0.000 -2.350 4.219
Zr -2.051 1.202 4.204
Te 0.000 2.378 2.437
Tl -2.051 3.551 -0.016
Te 4.101 2.519 2.597
Tl 0.000 0.000 0.000
Te 4.101 0.026 5.971
Te -2.164 3.639 5.801
Zr 4.101 -2.350 4.219
Zr 2.051 1.202 4.204
Te 2.164 3.639 5.801
Te 6.265 -1.235 2.606
Tl 2.051 3.551 -0.016
Te 1.937 -1.235 2.606
Te 0.000 -0.116 5.810

---

Number 1: theoretical density 16.3 Mg/m³. Number 2: theoretical density 6.7 Mg/m³.